The following is a GGA-PBE calculation of a relaxed CrIn2I2 crystal, from the Alexandria database.

Calculated values
Distance to the lowest polymorph of the same formula ... 0.075 eV/atom
Calculated density ... 5.43 Mg/m³
Formation energy (no corrections) ... 207 meV per atom
Magnetization ... 4.85 μB/f.u.
Fermi-level density of states ... 1.67 states/eV/f.u.

abc: 4.1346 4.1346 19.1654
angles: 90.00 90.00 90.00
With the nearest neighbours (Å) after each atom.
Space group I4/mmm (No. 139)
Asymmetric unit:
Cr 0.0000 0.0000 0.0000 x2  8 I 3.43
In 0.0000 0.5000 0.2500 x4  4 In 2.92
I 0.0000 0.0000 0.4061 x4  4 Cr 3.43, 1 I 3.60, 4 In 3.64